# PBE-GGA Li5CdSn2Hg2, relaxed
# - density (Mg/m³) = 6.4
# - volume (Å³ per atom) = 20.50
# - electronic total energy (eV per atom) = -2.125
# - magnetic moment (μB per atom) = 0.00
data_Li5CdSn2Hg2
_chemical_formula_sum 'Li10 Cd2 Sn4 Hg4'
_space_group_name_H-M_alt 'P 4/m b m'
_space_group_IT_number 127
_space_group_name_Hall '-P 4 2ab'
_cell_length_a 10.6764
_cell_length_b 10.6764
_cell_length_c 3.5975
_cell_angle_alpha 90.00
_cell_angle_beta 90.00
_cell_angle_gamma 90.00
loop_
_atom_site_label
_atom_site_fract_x
_atom_site_fract_y
_atom_site_fract_z
Li1 0.0000 0.5000 0.0000
Li2 0.0247 0.2062 0.0000
Cd1 0.0000 0.0000 0.5000
Sn1 0.1695 0.6695 0.5000
Hg1 0.1350 0.3650 0.5000